The following is a GGA-PBE calculation of an optimized crystal structure of LaZrMo2, from the Alexandria database.

Summary:
Relative energy among the computed polymorphs ... 0.436 eV/atom
E_form ... 0.594 eV/atom

abc: 8.937 8.937 8.937
angles: 21.34 21.34 21.34
Sites, in units of the cell vectors:
1 La 0.000 0.000 0.000
2 Zr 0.500 0.500 0.500
3 Mo 0.248 0.248 0.248
4 Mo 0.752 0.752 0.752

***

The following is a GGA-PBE calculation of an optimized crystal structure of LaZrMo, from the Alexandria database.

Summary:
Relative energy among the computed polymorphs ... 0.103 eV/atom
E_form ... 0.357 eV/atom

abc: 4.798 4.798 3.368
angles: 90.00 90.00 120.00
Sites, in units of the cell vectors:
1 La 0.000 0.000 0.000
2 Zr 0.333 0.667 0.580
3 Mo 0.667 0.333 0.288

***

The following is a GGA-PBE calculation of an optimized crystal structure of La5N4, from the Alexandria database.

Summary:
Formation energy without anion corrections ... -1060 meV/atom
Relative energy among the computed polymorphs ... 0.000 eV/atom

abc: 7.650 7.650 7.650
angles: 94.17 94.17 148.71
Sites, in units of the cell vectors:
1 La 0.000 0.000 0.000
2 La 0.223 0.387 0.610
3 La 0.387 0.777 0.164
4 La 0.613 0.223 0.836
5 La 0.777 0.613 0.390
6 N 0.169 0.173 0.342
7 N 0.173 0.831 0.004
8 N 0.827 0.169 0.996
9 N 0.831 0.827 0.658

***

The following is a GGA-PBE calculation of an optimized crystal structure of La3N2, from the Alexandria database.

Summary:
Formation energy without anion corrections ... -1094 meV/atom

abc: 9.981 9.981 9.981
angles: 21.38 21.38 21.38
Sites, in units of the cell vectors:
1 La 0.000 0.000 0.000
2 La 0.233 0.233 0.233
3 La 0.767 0.767 0.767
4 N 0.390 0.390 0.390
5 N 0.610 0.610 0.610

***

The following is a GGA-PBE calculation of an optimized crystal structure of La7N5, from the Alexandria database.

Summary:
Formation energy without anion corrections ... -998 meV/atom

abc: 6.506 6.506 13.997
angles: 100.87 100.87 31.91
Sites, in units of the cell vectors:
1 La 0.000 0.000 0.000
2 La 0.147 0.147 0.561
3 La 0.218 0.218 0.886
4 La 0.425 0.425 0.671
5 La 0.575 0.575 0.329
6 La 0.782 0.782 0.114
7 La 0.853 0.853 0.439
8 N 0.184 0.184 0.401
9 N 0.360 0.360 0.029
10 N 0.500 0.500 0.500
11 N 0.640 0.640 0.971
12 N 0.816 0.816 0.599

***

The following is a GGA-PBE calculation of an optimized crystal structure of La3N, from the Alexandria database.

Summary:
Formation energy without anion corrections ... -593 meV/atom
Relative energy among the computed polymorphs ... 0.000 eV/atom

abc: 6.693 6.693 6.076
angles: 90.00 90.00 120.00
Sites, in units of the cell vectors:
1 La 0.000 0.305 0.250
2 La 0.000 0.695 0.750
3 La 0.305 0.000 0.250
4 La 0.305 0.305 0.750
5 La 0.695 0.000 0.750
6 La 0.695 0.695 0.250
7 N 0.000 0.000 0.000
8 N 0.000 0.000 0.500

***

The following is a GGA-PBE calculation of an optimized crystal structure of La3N2, from the Alexandria database.

Summary:
Formation energy without anion corrections ... -1007 meV/atom

abc: 7.169 7.169 7.169
angles: 52.66 52.66 52.66
Sites, in units of the cell vectors:
1 La 0.070 0.750 0.430
2 La 0.250 0.570 0.930
3 La 0.430 0.070 0.750
4 La 0.570 0.930 0.250
5 La 0.750 0.430 0.070
6 La 0.930 0.250 0.570
7 N 0.163 0.163 0.163
8 N 0.337 0.337 0.337
9 N 0.663 0.663 0.663
10 N 0.837 0.837 0.837

***

The following is a GGA-PBE calculation of an optimized crystal structure of La2N, from the Alexandria database.

Summary:
Formation energy without anion corrections ... -859 meV/atom

abc: 6.610 6.610 6.610
angles: 133.22 133.22 68.31
Sites, in units of the cell vectors:
1 La 0.108 0.358 0.750
2 La 0.358 0.108 0.250
3 La 0.642 0.892 0.750
4 La 0.892 0.642 0.250
5 N 0.125 0.875 0.250
6 N 0.875 0.125 0.750

***

no.,DFT total energy (eV/cell)
1,-32.76
2,-23.24
3,-67.48
4,-36.90
5,-88.10
6,-50.96
7,-72.93
8,-41.51